Density functional theory data (PBE) for crystalline La2ZrS5 at its relaxed geometry.

Geometry as extended XYZ:
```
32
Lattice="11.578 0.000 0.000 0.000 8.234 0.000 0.000 0.000 7.443" Properties=species:S:1:pos:R:3 pbc="T T T"
La 1.997 0.009 0.400
La 1.997 4.108 0.400
La 3.792 4.126 4.121
La 3.792 8.226 4.121
La 7.786 0.009 3.321
La 7.786 4.108 3.321
La 9.581 4.126 7.042
La 9.581 8.226 7.042
Zr 0.114 2.059 4.272
Zr 5.675 6.176 0.550
Zr 5.903 2.059 6.892
Zr 11.464 6.176 3.171
S 0.052 2.059 7.014
S 0.878 4.402 5.026
S 0.878 7.949 5.026
S 2.211 2.059 2.658
S 2.405 6.176 2.506
S 3.384 2.059 6.228
S 3.578 6.176 6.379
S 4.911 0.285 1.305
S 4.911 3.832 1.305
S 5.737 6.176 3.293
S 5.841 2.059 4.150
S 6.667 4.402 6.138
S 6.667 7.949 6.138
S 8.000 2.059 1.063
S 8.194 6.176 1.215
S 9.173 2.059 4.936
S 9.367 6.176 4.785
S 10.700 0.285 2.417
S 10.700 3.832 2.417
S 11.526 6.176 0.428
```

Summary:
Space-group type = Pnma, No. 62
Formation energy (no corrections) = -15.890 eV per formula unit
Crystal system = orthorhombic
VASP energy = -6.866 eV/atom